{"formula": "GaTe3Pd12", "functional": "PBE", "state": "relaxed", "formation_energy_uncorrected_ev_per_atom": -0.24, "lattice": [[4.0546, 0.0000, 0.0000], [0.0000, 4.0546, 0.0000], [0.0000, 0.0000, 16.1639]], "species": ["Ga", "Te", "Te", "Te", "Pd", "Pd", "Pd", "Pd", "Pd", "Pd", "Pd", "Pd", "Pd", "Pd", "Pd", "Pd"], "frac_coords": [[0.0000, 0.0000, 0.0000], [0.0000, 0.0000, 0.2428], [0.0000, 0.0000, 0.5000], [0.0000, 0.0000, 0.7572], [0.0000, 0.5000, 0.1154], [0.0000, 0.5000, 0.3717], [0.0000, 0.5000, 0.6283], [0.0000, 0.5000, 0.8846], [0.5000, 0.0000, 0.1154], [0.5000, 0.0000, 0.3717], [0.5000, 0.0000, 0.6283], [0.5000, 0.0000, 0.8846], [0.5000, 0.5000, 0.0000], [0.5000, 0.5000, 0.2433], [0.5000, 0.5000, 0.5000], [0.5000, 0.5000, 0.7567]]}